Record 1
Compound: Sr2ZnPb
Source: Alexandria
Functional: SCAN
Structure: PBEsol geometry

The structure in extended XYZ format:
```
4
Lattice="0.000 3.950 3.950 3.950 0.000 3.950 3.950 3.950 0.000" Properties=species:S:1:pos:R:3 pbc="T T T"
Sr 1.975 1.975 1.975
Sr 5.926 5.926 5.926
Zn 0.000 0.000 0.000
Pb 3.950 3.950 3.950
```

Size of the total moment in μB/atom: 0.000
DFT formation energy in meV/atom: -570
Calculated total energy in eV per atom: -34.032

Record 2
Compound: SrZn4Pb
Source: Alexandria
Functional: SCAN
Structure: PBEsol geometry

The structure in extended XYZ format:
```
6
Lattice="0.000 3.942 3.942 3.942 0.000 3.942 3.942 3.942 0.000" Properties=species:S:1:pos:R:3 pbc="T T T"
Sr 0.000 0.000 0.000
Zn 2.953 2.953 2.953
Zn 4.932 4.932 2.953
Zn 4.932 2.953 4.932
Zn 2.953 4.932 4.932
Pb 5.914 5.914 5.914
```

Size of the total moment in μB/atom: 0.000
DFT formation energy in meV/atom: -77
Calculated total energy in eV per atom: -25.430

Record 3
Compound: Sr2ZnPb
Source: Alexandria
Functional: SCAN
Structure: PBEsol geometry

The structure in extended XYZ format:
```
4
Lattice="5.545 0.000 0.000 0.000 5.545 0.000 0.000 0.000 4.018" Properties=species:S:1:pos:R:3 pbc="T T T"
Sr 0.000 2.773 0.000
Sr 2.773 0.000 0.000
Zn 0.000 0.000 2.009
Pb 2.773 2.773 2.009
```

Size of the total moment in μB/atom: 0.000
DFT formation energy in meV/atom: -518
Calculated total energy in eV per atom: -33.980

Record 4
Compound: SrZn2Pb
Source: Alexandria
Functional: SCAN
Structure: PBEsol geometry

The structure in extended XYZ format:
```
4
Lattice="4.651 0.000 0.000 0.000 4.651 0.000 0.000 0.000 4.441" Properties=species:S:1:pos:R:3 pbc="T T T"
Sr 0.000 0.000 0.000
Zn 0.000 2.326 2.220
Zn 2.326 0.000 2.220
Pb 2.326 2.326 0.000
```

Size of the total moment in μB/atom: 0.000
DFT formation energy in meV/atom: -115
Calculated total energy in eV per atom: -31.386

Record 5
Compound: Sr2ZnPb
Source: Alexandria
Functional: SCAN
Structure: PBEsol geometry

The structure in extended XYZ format:
```
4
Lattice="3.906 0.000 0.000 0.000 3.906 0.000 0.000 0.000 8.007" Properties=species:S:1:pos:R:3 pbc="T T T"
Sr 0.000 0.000 1.886
Sr 0.000 0.000 6.121
Zn 1.953 1.953 0.000
Pb 1.953 1.953 4.003
```

Size of the total moment in μB/atom: 0.000
DFT formation energy in meV/atom: -504
Calculated total energy in eV per atom: -33.966

Record 6
Compound: Sr2ZrPb
Source: Alexandria
Functional: SCAN
Structure: PBEsol geometry

The structure in extended XYZ format:
```
4
Lattice="0.000 3.912 3.912 3.912 0.000 3.912 3.912 3.912 0.000" Properties=species:S:1:pos:R:3 pbc="T T T"
Sr 0.000 0.000 0.000
Sr 1.956 1.956 1.956
Zr 3.912 3.912 3.912
Pb 5.868 5.868 5.868
```

Size of the total moment in μB/atom: 0.490
DFT formation energy in meV/atom: 129
Calculated total energy in eV per atom: -37.628

Record 7
Compound: SrZrPb
Source: Alexandria
Functional: SCAN
Structure: PBEsol geometry

The structure in extended XYZ format:
```
3
Lattice="3.473 0.000 0.000 -1.736 3.007 0.000 0.000 0.000 8.197" Properties=species:S:1:pos:R:3 pbc="T T T"
Sr 0.000 0.000 0.000
Zr 1.736 1.002 5.287
Pb 0.000 2.005 2.849
```

Size of the total moment in μB/atom: 0.000
DFT formation energy in meV/atom: 92
Calculated total energy in eV per atom: -42.827

Record 8
Compound: SrZr2Pb
Source: Alexandria
Functional: SCAN
Structure: PBEsol geometry

The structure in extended XYZ format:
```
4
Lattice="0.000 3.725 3.725 3.725 0.000 3.725 3.725 3.725 0.000" Properties=species:S:1:pos:R:3 pbc="T T T"
Sr 0.000 0.000 0.000
Zr 3.725 3.725 3.725
Zr 5.587 5.587 5.587
Pb 1.862 1.862 1.862
```

Size of the total moment in μB/atom: 0.760
DFT formation energy in meV/atom: 158
Calculated total energy in eV per atom: -39.705

Record 9
Compound: Sr2ZrPb
Source: Alexandria
Functional: SCAN
Structure: PBEsol geometry

The structure in extended XYZ format:
```
4
Lattice="5.892 0.000 0.000 0.000 5.892 0.000 0.000 0.000 3.717" Properties=species:S:1:pos:R:3 pbc="T T T"
Sr 0.000 2.946 0.000
Sr 2.946 0.000 0.000
Zr 0.000 0.000 1.859
Pb 2.946 2.946 1.859
```

Size of the total moment in μB/atom: 0.870
DFT formation energy in meV/atom: 100
Calculated total energy in eV per atom: -37.658

Record 10
Compound: Sr2ZrPb
Source: Alexandria
Functional: SCAN
Structure: PBEsol geometry

The structure in extended XYZ format:
```
4
Lattice="-2.116 2.748 5.696 2.116 -2.748 5.696 2.116 2.748 -5.696" Properties=species:S:1:pos:R:3 pbc="T T T"
Sr 0.000 0.000 0.000
Sr 0.000 2.748 2.365
Zr 0.000 0.000 4.795
Pb 2.116 0.000 2.793
```

Size of the total moment in μB/atom: 0.127
DFT formation energy in meV/atom: -52
Calculated total energy in eV per atom: -37.809

Record 11
Compound: Sr2ZrPb
Source: Alexandria
Functional: SCAN
Structure: PBEsol geometry

The structure in extended XYZ format:
```
4
Lattice="-2.356 2.356 5.382 2.356 -2.356 5.382 2.356 2.356 -5.382" Properties=species:S:1:pos:R:3 pbc="T T T"
Sr 2.356 0.000 2.691
Sr 0.000 2.356 2.691
Zr 0.000 0.000 0.000
Pb 0.000 0.000 5.382
```

Size of the total moment in μB/atom: 0.456
DFT formation energy in meV/atom: 17
Calculated total energy in eV per atom: -37.740

Record 12
Compound: SrZr2Pb
Source: Alexandria
Functional: SCAN
Structure: PBEsol geometry

The structure in extended XYZ format:
```
4
Lattice="3.408 0.000 0.000 0.000 4.011 0.000 0.000 0.000 7.961" Properties=species:S:1:pos:R:3 pbc="T T T"
Sr 0.000 0.000 0.000
Zr 0.000 0.000 4.092
Zr 1.704 2.006 2.531
Pb 1.704 2.006 5.729
```

Size of the total moment in μB/atom: 0.000
DFT formation energy in meV/atom: -93
Calculated total energy in eV per atom: -39.957

Record 13
Compound: TaPb
Source: Alexandria
Functional: SCAN
Structure: PBEsol geometry

The structure in extended XYZ format:
```
2
Lattice="1.750 -2.550 0.000 1.750 2.550 0.000 0.000 0.000 4.670" Properties=species:S:1:pos:R:3 pbc="T T T"
Ta 0.000 0.000 0.000
Pb 1.750 0.000 2.335
```

Size of the total moment in μB/atom: 0.000
DFT formation energy in meV/atom: 636
Calculated total energy in eV per atom: -70.546

Record 14
Compound: Ta2Pb
Source: Alexandria
Functional: SCAN
Structure: PBEsol geometry

The structure in extended XYZ format:
```
3
Lattice="3.028 0.000 0.000 -1.514 2.623 0.000 0.000 0.000 7.509" Properties=species:S:1:pos:R:3 pbc="T T T"
Ta 0.000 1.748 2.529
Ta 1.514 0.874 4.980
Pb 0.000 0.000 0.000
```

Size of the total moment in μB/atom: 0.000
DFT formation energy in meV/atom: 576
Calculated total energy in eV per atom: -69.073

Record 15
Compound: Ta2Pb
Source: Alexandria
Functional: SCAN
Structure: PBEsol geometry

The structure in extended XYZ format:
```
6
Lattice="-3.225 3.225 2.899 3.225 -3.225 2.899 3.225 3.225 -2.899" Properties=species:S:1:pos:R:3 pbc="T T T"
Ta 4.141 0.916 0.000
Ta 0.916 2.309 0.000
Ta 2.309 0.916 2.899
Ta -0.916 2.309 2.899
Pb 0.000 0.000 1.450
Pb 0.000 0.000 4.349
```

Size of the total moment in μB/atom: 0.000
DFT formation energy in meV/atom: 639
Calculated total energy in eV per atom: -69.010

Record 16
Compound: TaPb
Source: Alexandria
Functional: SCAN
Structure: PBEsol geometry

The structure in extended XYZ format:
```
4
Lattice="4.841 0.000 0.000 -2.420 4.192 0.000 0.000 0.000 5.554" Properties=species:S:1:pos:R:3 pbc="T T T"
Ta 0.000 2.795 1.389
Ta 2.420 1.397 4.166
Pb 0.000 2.795 4.166
Pb 2.420 1.397 1.389
```

Size of the total moment in μB/atom: 0.000
DFT formation energy in meV/atom: 1266
Calculated total energy in eV per atom: -69.916

Record 17
Compound: TaPb
Source: Alexandria
Functional: SCAN
Structure: PBEsol geometry

The structure in extended XYZ format:
```
4
Lattice="3.118 0.000 0.000 0.000 4.820 0.000 -1.379 0.000 5.671" Properties=species:S:1:pos:R:3 pbc="T T T"
Ta 0.333 1.205 0.688
Ta 1.407 3.615 4.983
Pb 0.105 1.205 3.736
Pb 1.634 3.615 1.935
```

Size of the total moment in μB/atom: 0.000
DFT formation energy in meV/atom: 494
Calculated total energy in eV per atom: -70.688

Record 18
Compound: Ta2TcPb
Source: Alexandria
Functional: SCAN
Structure: PBEsol geometry

The structure in extended XYZ format:
```
4
Lattice="2.848 -3.919 0.000 2.848 3.919 0.000 0.000 0.000 3.190" Properties=species:S:1:pos:R:3 pbc="T T T"
Ta 1.424 1.959 0.000
Ta 1.424 -1.959 0.000
Tc 0.000 0.000 1.595
Pb 2.848 0.000 1.595
```

Size of the total moment in μB/atom: 0.000
DFT formation energy in meV/atom: 285
Calculated total energy in eV per atom: -60.717

Record 19
Compound: Ta2TcPb
Source: Alexandria
Functional: SCAN
Structure: PBEsol geometry

The structure in extended XYZ format:
```
4
Lattice="1.674 -2.442 0.000 1.674 2.442 0.000 0.000 0.000 8.954" Properties=species:S:1:pos:R:3 pbc="T T T"
Ta 0.000 0.000 2.016
Ta 0.000 0.000 6.939
Tc 1.674 0.000 0.000
Pb 1.674 0.000 4.477
```

Size of the total moment in μB/atom: 0.000
DFT formation energy in meV/atom: 254
Calculated total energy in eV per atom: -60.748

Record 20
Compound: TaTcPb2
Source: Alexandria
Functional: SCAN
Structure: PBEsol geometry

The structure in extended XYZ format:
```
4
Lattice="-2.105 2.105 4.435 2.105 -2.105 4.435 2.105 2.105 -4.435" Properties=species:S:1:pos:R:3 pbc="T T T"
Ta 0.000 0.000 0.000
Tc 0.000 2.105 2.218
Pb 2.105 0.000 2.218
Pb 0.000 0.000 4.435
```

Size of the total moment in μB/atom: 0.000
DFT formation energy in meV/atom: 791
Calculated total energy in eV per atom: -62.510

Record 21
Compound: TaTcPb2
Source: Alexandria
Functional: SCAN
Structure: PBEsol geometry

The structure in extended XYZ format:
```
4
Lattice="5.227 -1.632 0.000 5.227 1.632 0.000 -1.997 0.000 4.907" Properties=species:S:1:pos:R:3 pbc="T T T"
Ta 0.000 0.000 0.000
Tc 6.471 0.000 1.403
Pb 0.753 0.000 3.975
Pb 3.681 0.000 2.210
```

Size of the total moment in μB/atom: 0.000
DFT formation energy in meV/atom: 449
Calculated total energy in eV per atom: -62.853

Record 22
Compound: Ta2TePb
Source: Alexandria
Functional: SCAN
Structure: PBEsol geometry

The structure in extended XYZ format:
```
4
Lattice="-1.656 2.686 4.716 1.656 -2.686 4.716 1.656 2.686 -4.716" Properties=species:S:1:pos:R:3 pbc="T T T"
Ta 0.000 0.000 2.254
Ta 0.000 0.000 7.178
Te 1.656 0.000 0.000
Pb 0.000 2.686 0.000
```

Size of the total moment in μB/atom: 0.000
Formation energy from raw total energies in kJ/mol of formula units: 258
Calculated total energy in eV per atom: -60.881

Record 23
Compound: TaTe2Pb2
Source: Alexandria
Functional: SCAN
Structure: PBEsol geometry

The structure in extended XYZ format:
```
5
Lattice="-1.963 1.963 9.095 1.963 -1.963 9.095 1.963 1.963 -9.095" Properties=species:S:1:pos:R:3 pbc="T T T"
Ta 0.000 0.000 0.000
Te 0.000 0.000 7.566
Te 0.000 0.000 10.624
Pb 1.963 0.000 4.547
Pb 0.000 1.963 4.547
```

Size of the total moment in μB/atom: 0.000
Formation energy from raw total energies in kJ/mol of formula units: 325
Calculated total energy in eV per atom: -57.856

Record 24
Compound: TaTe2Pb
Source: Alexandria
Functional: SCAN
Structure: PBEsol geometry

The structure in extended XYZ format:
```
4
Lattice="1.562 0.902 12.574 -1.562 0.902 12.574 0.000 -1.804 12.574" Properties=species:S:1:pos:R:3 pbc="T T T"
Ta 0.000 0.000 0.000
Te 0.000 0.000 2.824
Te 0.000 0.000 34.899
Pb 0.000 0.000 18.861
```

Size of the total moment in μB/atom: 0.000
Formation energy from raw total energies in kJ/mol of formula units: 221
Calculated total energy in eV per atom: -53.644

Record 25
Compound: Ta2TePb
Source: Alexandria
Functional: SCAN
Structure: PBEsol geometry

The structure in extended XYZ format:
```
4
Lattice="1.647 0.951 10.024 -1.647 0.951 10.024 0.000 -1.902 10.024" Properties=species:S:1:pos:R:3 pbc="T T T"
Ta 0.000 0.000 0.000
Ta 0.000 0.000 8.014
Te 0.000 0.000 22.107
Pb 0.000 0.000 15.540
```

Size of the total moment in μB/atom: 0.000
Formation energy from raw total energies in kJ/mol of formula units: 57
Calculated total energy in eV per atom: -61.402

Record 26
Compound: TaTe2Pb
Source: Alexandria
Functional: SCAN
Structure: PBEsol geometry

The structure in extended XYZ format:
```
4
Lattice="1.762 1.017 9.596 -1.762 1.017 9.596 0.000 -2.035 9.596" Properties=species:S:1:pos:R:3 pbc="T T T"
Ta 0.000 0.000 0.000
Te 0.000 0.000 7.701
Te 0.000 0.000 21.086
Pb 0.000 0.000 14.393
```

Size of the total moment in μB/atom: 0.000
Formation energy from raw total energies in kJ/mol of formula units: -56
Calculated total energy in eV per atom: -54.362

Record 27
Compound: TaTe2Pb
Source: Alexandria
Functional: SCAN
Structure: PBEsol geometry

The structure in extended XYZ format:
```
4
Lattice="3.449 0.000 0.000 0.000 3.449 0.000 0.000 0.000 8.021" Properties=species:S:1:pos:R:3 pbc="T T T"
Ta 0.000 0.000 0.000
Te 1.725 1.725 1.617
Te 1.725 1.725 6.404
Pb 0.000 0.000 4.010
```

Size of the total moment in μB/atom: 0.000
Formation energy from raw total energies in kJ/mol of formula units: -5
Calculated total energy in eV per atom: -54.229

Record 28
Compound: TaPb2W
Source: Alexandria
Functional: SCAN
Structure: PBEsol geometry

The structure in extended XYZ format:
```
4
Lattice="3.054 0.000 0.000 0.000 4.659 0.000 -0.804 0.000 5.698" Properties=species:S:1:pos:R:3 pbc="T T T"
Ta 0.000 0.000 0.000
Pb 0.238 2.329 4.259
Pb 2.012 2.329 1.439
W 1.125 0.000 2.849
```

Size of the total moment in μB/atom: 0.000
DFT formation energy in meV/atom: 1015
Calculated total energy in eV per atom: -70.944

Record 29
Compound: TaPbW2
Source: Alexandria
Functional: SCAN
Structure: PBEsol geometry

The structure in extended XYZ format:
```
4
Lattice="2.831 0.000 0.000 0.000 2.831 0.000 0.000 0.000 9.176" Properties=species:S:1:pos:R:3 pbc="T T T"
Ta 0.000 0.000 0.000
Pb 0.000 0.000 4.588
W 1.416 1.416 2.165
W 1.416 1.416 7.011
```

Size of the total moment in μB/atom: 0.000
DFT formation energy in meV/atom: 929
Calculated total energy in eV per atom: -69.507

Record 30
Compound: YTa2Pb
Source: Alexandria
Functional: SCAN
Structure: PBEsol geometry

The structure in extended XYZ format:
```
4
Lattice="4.180 0.000 0.000 0.000 4.180 0.000 0.000 0.000 4.835" Properties=species:S:1:pos:R:3 pbc="T T T"
Y 0.000 0.000 0.000
Ta 0.000 2.090 2.417
Ta 2.090 0.000 2.417
Pb 2.090 2.090 0.000
```

Size of the total moment in μB/atom: 0.000
DFT formation energy in meV/atom: 230
Calculated total energy in eV per atom: -58.968

Record 31
Compound: YTa2Pb
Source: Alexandria
Functional: SCAN
Structure: PBEsol geometry

The structure in extended XYZ format:
```
4
Lattice="3.026 0.000 0.000 0.000 4.848 0.000 0.000 0.000 5.967" Properties=species:S:1:pos:R:3 pbc="T T T"
Y 0.000 0.000 0.000
Ta 1.513 2.424 1.409
Ta 1.513 2.424 4.558
Pb 0.000 0.000 2.983
```

Size of the total moment in μB/atom: 0.000
DFT formation energy in meV/atom: 552
Calculated total energy in eV per atom: -58.646